First-principles (PBE-GGA) data for crystalline TaZn2Cd at its relaxed geometry, as listed in Alexandria via LeMat-Bulk.

Output
DOS(E_F) in states/eV/f.u.: 3.36
Energy in eV per atom: -3.338
SG: No. 216

Unit cell a=4.6130 b=4.6130 c=4.6130 alpha=60.00 beta=60.00 gamma=60.00
Positions (direct):
Cd 0.5000 0.5000 0.5000
Ta 0.7500 0.7500 0.7500
Zn 0.0000 0.0000 0.0000
Zn 0.2500 0.2500 0.2500



First-principles (PBE-GGA) data for crystalline Ta2ZnCd at its relaxed geometry, as listed in Alexandria via LeMat-Bulk.

Output
DOS(E_F) in states/eV/f.u.: 6.11
Energy in eV per atom: -5.934
SG: No. 216

Unit cell a=4.6977 b=4.6977 c=4.6977 alpha=60.00 beta=60.00 gamma=60.00
Site moments in Bohr magnetons follow the coordinates.
Positions (direct):
Cd 0.5000 0.5000 0.5000  0.00
Ta 0.0000 0.0000 0.0000  0.14
Ta 0.2500 0.2500 0.2500  0.14
Zn 0.7500 0.7500 0.7500  0.00